1.
Compound: Li2La2SmMg5
Source: the Alexandria database
Functional: PBE
Structure: optimized geometry

Output
The formation energy is -0.05 eV per atom. The value obtained for the density of states at the Fermi level is 23.05 states/eV/cell. For the calculated total energy, the calculation gives -53.84 eV for the cell shown. The volume comes out at 534.4 Å³/cell. As for the magnetization: 0.00 μB per formula unit. The calculated density is 3.5 g cm⁻³.

Cell: 4.4481 10.9612 10.9612 Å, 90.00 90.00 90.00°
Closest atoms and distances in Å follow each position.
Fractional positions:
Li 0.0000 0.1132 0.6132  6 Mg 2.83-2.97
Li 0.0000 0.8868 0.3869  6 Mg 2.83-2.97
Li 0.0000 0.6132 0.8868  6 Mg 2.83-2.97
Li 0.0000 0.3869 0.1132  6 Mg 2.83-2.97
La 0.0000 0.6817 0.1817  3 Li 3.18-3.32
La 0.0000 0.3183 0.8183  3 Li 3.18-3.32
La 0.0000 0.1817 0.3183  3 Li 3.18-3.32
La 0.0000 0.8183 0.6817  3 Li 3.18-3.32
Sm 0.0000 0.0000 0.0000  8 Mg 3.31
Sm 0.0000 0.5000 0.5000  8 Mg 3.31
Mg 0.5000 0.2159 0.0587  2 Li 2.97, 1 Mg 3.18, 2 Sm 3.31
Mg 0.5000 0.7841 0.9413  2 Li 2.97, 1 Mg 3.18, 2 Sm 3.31
Mg 0.5000 0.0587 0.7841  2 Li 2.97, 1 Mg 3.18, 2 Sm 3.31
Mg 0.5000 0.7159 0.4413  2 Li 2.97, 1 Mg 3.18, 2 Sm 3.31
Mg 0.5000 0.9413 0.2159  2 Li 2.97, 1 Mg 3.18, 2 Sm 3.31
Mg 0.5000 0.2841 0.5587  2 Li 2.97, 1 Mg 3.18, 2 Sm 3.31
Mg 0.5000 0.5587 0.7159  2 Li 2.97, 1 Mg 3.18, 2 Sm 3.31
Mg 0.5000 0.4413 0.2841  2 Li 2.97, 1 Mg 3.18, 2 Sm 3.31
Mg 0.5000 0.5000 0.0000  4 Li 2.83
Mg 0.5000 0.0000 0.5000  4 Li 2.83


2.
Compound: SrBe3Cd
Source: the Alexandria database
Functional: PBE
Structure: optimized geometry

Output
The formation energy is 1.98 eV per atom. The value obtained for the density of states at the Fermi level is 4.45 states/eV/cell. The value obtained for the energy above the most stable polymorph in this dataset is 1324 meV per atom. For the calculated total energy, the calculation gives -3.89 eV for the cell shown. The volume comes out at 183.2 Å³/cell. As for the magnetization: 0.00 μB per formula unit. The calculated density is 2.1 g cm⁻³.

Cell: 5.6793 5.6793 5.6793 Å, 90.00 90.00 90.00°
Closest atoms and distances in Å follow each position.
Fractional positions:
Sr 0.0000 0.0000 0.0000  6 Be 2.84
Be 0.0000 0.5000 0.0000  2 Sr 2.84
Be 0.0000 0.0000 0.5000  2 Sr 2.84
Be 0.5000 0.0000 0.0000  2 Sr 2.84
Cd 0.5000 0.5000 0.5000  12 Be 4.02


3.
Compound: CaTlAuSe
Source: the Alexandria database
Functional: PBE
Structure: optimized geometry

Output
The value obtained for the density of states at the Fermi level is 1.09 states/eV/cell. The value obtained for the energy above the most stable polymorph in this dataset is 7 meV per atom. For the uncorrected formation energy, the calculation gives -0.844 eV/atom. For the calculated total energy, the calculation gives -14.51 eV for the cell shown. The volume comes out at 105.9 Å³/cell. As for the magnetization: 0.00 μB per formula unit. The calculated density is 8.2 g cm⁻³.

Cell: 4.1031 4.1812 6.5026 Å, 90.00 108.35 90.00°
Closest atoms and distances in Å follow each position.
Fractional positions:
Tl 0.7716 0.0000 0.0184  4 Au 2.94-2.95, 1 Se 3.01
Au 0.2477 0.5000 0.9698  4 Tl 2.94-2.95, 1 Ca 3.21
Ca 0.5095 0.5000 0.4906  4 Se 2.93, 1 Au 3.21
Se 0.0174 0.0000 0.5064  4 Ca 2.93, 1 Tl 3.01


4.
Compound: KYAl2Au
Source: the Alexandria database
Functional: PBE
Structure: optimized geometry

Output
The formation energy is 0.27 eV per atom. The value obtained for the density of states at the Fermi level is 4.53 states/eV/cell. For the calculated total energy, the calculation gives -16.97 eV for the cell shown. The volume comes out at 138.3 Å³/cell. As for the magnetization: 0.00 μB per formula unit. The calculated density is 4.5 g cm⁻³.

Cell: 4.9702 5.6002 4.9702 Å, 90.00 90.00 90.00°
Closest atoms and distances in Å follow each position.
Fractional positions:
Y 0.5000 0.5000 0.5000  4 K 3.51, 8 Al 3.74
K 0.0000 0.5000 0.0000  2 Au 2.80
Au 0.0000 0.0000 0.0000  4 Al 2.49
Al 0.0000 0.0000 0.5000  2 Au 2.49
Al 0.5000 0.0000 0.0000  2 Au 2.49


5.
Compound: Nd2Si4PdAu3
Source: the Alexandria database
Functional: PBE
Structure: optimized geometry

Output
The value obtained for the density of states at the Fermi level is 4.63 states/eV/cell. For the uncorrected formation energy, the calculation gives -0.647 eV/atom. For the calculated total energy, the calculation gives -52.72 eV for the cell shown. The volume comes out at 191.7 Å³/cell. As for the magnetization: 0.00 μB per formula unit. The calculated density is 9.5 g cm⁻³.

Cell: 4.3000 4.3000 10.3687 Å, 90.00 90.00 90.00°
Closest atoms and distances in Å follow each position.
Fractional positions:
Nd 0.5000 0.0000 0.2544  8 Si 3.27-3.40, 6 Au 3.30-3.33, 2 Pd 3.33
Nd 0.0000 0.5000 0.7456  8 Si 3.27-3.40, 6 Au 3.30-3.33, 2 Pd 3.33
Si 0.5000 0.5000 0.0000  4 Au 2.54
Si 0.0000 0.0000 0.0000  4 Au 2.54
Si 0.5000 0.0000 0.6294  3 Au 2.48-2.53, 2 Pd 2.53
Si 0.0000 0.5000 0.3706  3 Au 2.48-2.53, 2 Pd 2.53
Pd 0.5000 0.5000 0.5000  4 Si 2.53
Au 0.0000 0.0000 0.5000  4 Si 2.53
Au 0.5000 0.0000 0.8688  5 Si 2.48-2.54
Au 0.0000 0.5000 0.1312  5 Si 2.48-2.54


6.
Compound: Li2CuAg8
Source: the Alexandria database
Functional: PBE
Structure: optimized geometry

Output
The formation energy is -0.05 eV per atom. The value obtained for the density of states at the Fermi level is 2.71 states/eV/cell. The value obtained for the energy above the most stable polymorph in this dataset is 0 meV per atom. For the calculated total energy, the calculation gives -31.30 eV for the cell shown. The volume comes out at 186.8 Å³/cell. As for the magnetization: 0.00 μB per formula unit. The calculated density is 8.4 g cm⁻³.

Cell: 4.1412 6.3933 7.5954 Å, 104.53 105.82 90.00°
Closest atoms and distances in Å follow each position.
Fractional positions:
Li 0.7764 0.3537 0.5528  10 Ag 2.82-2.89, 2 Li 3.02
Li 0.2236 0.6463 0.4472  10 Ag 2.82-2.89, 2 Li 3.02
Cu 0.5000 0.0000 0.0000  12 Ag 2.82-2.93
Ag 0.4065 0.5509 0.8131  1 Cu 2.84, 8 Ag 2.85-2.97, 3 Li 2.87-2.89
Ag 0.6790 0.9106 0.3579  1 Cu 2.82, 3 Li 2.82-2.85, 8 Ag 2.88-2.94
Ag 0.8608 0.8138 0.7217  7 Ag 2.85-2.88, 3 Li 2.88-2.89, 2 Cu 2.93
Ag 0.9564 0.2671 0.9127  1 Li 2.83, 9 Ag 2.85-2.97, 2 Cu 2.86
Ag 0.1392 0.1862 0.2783  7 Ag 2.85-2.88, 3 Li 2.88-2.89, 2 Cu 2.93
Ag 0.3210 0.0894 0.6421  1 Cu 2.82, 3 Li 2.82-2.85, 8 Ag 2.88-2.94
Ag 0.5935 0.4491 0.1869  1 Cu 2.84, 8 Ag 2.85-2.97, 3 Li 2.87-2.89
Ag 0.0436 0.7329 0.0873  1 Li 2.83, 9 Ag 2.85-2.97, 2 Cu 2.86


7.
Compound: Gd2YMg
Source: the Alexandria database
Functional: PBE
Structure: optimized geometry

Output
The formation energy is 0.04 eV per atom. The value obtained for the density of states at the Fermi level is 4.40 states/eV/cell. The value obtained for the energy above the most stable polymorph in this dataset is 70 meV per atom. For the calculated total energy, the calculation gives -36.05 eV for the cell shown. The volume comes out at 119.9 Å³/cell. As for the magnetization: 14.98 μB per formula unit. The calculated density is 5.9 g cm⁻³.

Cell: 5.5353 5.5353 5.5353 Å, 60.00 60.00 60.00°
Closest atoms and distances in Å follow each position.
Fractional positions:
Y 0.5000 0.5000 0.5000  8 Gd 3.39
Mg 0.0000 0.0000 0.0000  8 Gd 3.39
Gd 0.2500 0.2500 0.2500  4 Mg 3.39, 4 Y 3.39
Gd 0.7500 0.7500 0.7500  4 Mg 3.39, 4 Y 3.39


8.
Compound: LaSb3
Source: the Alexandria database
Functional: PBE
Structure: optimized geometry

Output
The value obtained for the density of states at the Fermi level is 2.36 states/eV/cell. For the uncorrected formation energy, the calculation gives -0.589 eV/atom. For the calculated total energy, the calculation gives -19.65 eV for the cell shown. The volume comes out at 115.0 Å³/cell. As for the magnetization: 0.00 μB per formula unit. The calculated density is 7.3 g cm⁻³.

Cell: 4.5202 4.6411 6.3676 Å, 111.37 110.79 90.00°
Closest atoms and distances in Å follow each position.
Fractional positions:
Sb 0.2472 0.6641 0.4945  8 Sb 3.24-3.62, 4 La 3.57-3.58
Sb 0.5000 0.4164 0.0000  4 La 3.24, 8 Sb 3.53-3.62
Sb 0.7528 0.1696 0.5055  8 Sb 3.24-3.62, 4 La 3.57-3.58
La 0.0000 0.9166 0.0000  12 Sb 3.24-3.58


Which formula does entry 5 have? Nd2Si4PdAu3